## a
## AlNi3O (PBE with a Hubbard U)

Data for an optimized crystal structure of AlNi3O.

SG: Pm-3m, No. 221
spin magnetization: 2.3 μB/f.u.

Cell: 3.948 3.948 3.948 Å, 90.00 90.00 90.00°
Element x y z (fractional)
Al1 0.000 0.000 0.000
Ni1 0.000 0.500 0.500
Ni2 0.500 0.000 0.500
Ni3 0.500 0.500 0.000
O1 0.500 0.500 0.500

## b
## AlNi3O (PBE with a Hubbard U)

Data for an optimized crystal structure of AlNi3O.

SG: Pm-3m, No. 221
spin magnetization: 3.3 μB/f.u.

Cell: 4.395 4.395 4.395 Å, 90.00 90.00 90.00°
Element x y z (fractional)
Al1 0.000 0.000 0.000
Ni1 0.000 0.000 0.500
Ni2 0.000 0.500 0.000
Ni3 0.500 0.000 0.000
O1 0.500 0.500 0.500

Most favorable first, least favorable last: a, b

## a
## Al3NiO (PBE with a Hubbard U)

Data for an optimized crystal structure of Al3NiO.

SG: Pm-3m, No. 221
spin magnetization: 0.7 μB/f.u.

Cell: 4.363 4.363 4.363 Å, 90.00 90.00 90.00°
Element x y z (fractional)
Al1 0.000 0.000 0.500
Al2 0.000 0.500 0.000
Al3 0.500 0.000 0.000
Ni1 0.000 0.000 0.000
O1 0.500 0.500 0.500

## b
## Al3NiO (PBE with a Hubbard U)

Data for an optimized crystal structure of Al3NiO.

SG: Pm-3m, No. 221
spin magnetization: 0.3 μB/f.u.

Cell: 3.973 3.973 3.973 Å, 90.00 90.00 90.00°
Element x y z (fractional)
Al1 0.000 0.000 0.500
Al2 0.000 0.500 0.000
Al3 0.500 0.000 0.000
Ni1 0.500 0.500 0.500
O1 0.000 0.000 0.000

Most favorable first, least favorable last: b, a